LiTc3Sb (GGA-PBE, relaxed); offset from the most stable computed form = 0.000 eV per atom; SG = No. 221; magnetic moment = 3.132 μB/f.u.; crystal system = cubic; total energy = -0.4675 Ry per atom
1.0
4.252 0.000 0.000
0.000 4.252 0.000
0.000 0.000 4.252
Sb Tc Li
1 3 1
direct
0.500 0.500 0.500
0.000 0.500 0.000
0.000 0.000 0.500
0.500 0.000 0.000
0.000 0.000 0.000